Compound: AcTb2PrTm
Source: Alexandria via LeMat-Bulk
Functional: PBE-GGA
Structure: relaxed

Values from the calculation:
**Total magnetic moment**: 0.00 μB/f.u.
**Energy**: -4.167 eV/atom

Unit cell a=8.542 b=11.925 c=7.338 alpha=90.00 beta=90.00 gamma=90.00
Space group Cmcm (No. 63)
Unique sites:
1 Ac 0.000 0.240 0.250
2 Tb 0.187 0.000 0.000
3 Pr 0.000 0.481 0.750
4 Tm 0.000 0.206 0.750